No. 1
# H10PtC2N2Cl2

H10PtC2N2Cl2 after structural relaxation (PBE-GGA, Alexandria via LeMat-Bulk). Values from VASP.

Properties
E_tot	-4.959	eV per atom

The structure in Quantum ESPRESSO input format:
```
&SYSTEM
  ibrav = 0, nat = 68, ntyp = 5
/
ATOMIC_SPECIES
H 1.01 H.upf
Pt 195.08 Pt.upf
C 12.01 C.upf
N 14.01 N.upf
Cl 35.45 Cl.upf
CELL_PARAMETERS angstrom
6.343 0.000 0.000
0.000 16.369 0.000
-4.869 0.000 7.570
ATOMIC_POSITIONS angstrom
H -0.416 3.645 1.013
H -2.851 4.540 4.798
H -1.872 2.271 3.657
H -4.306 5.913 7.442
H -0.923 9.657 2.758
H -3.358 14.897 6.543
H -1.721 9.921 4.150
H 0.714 14.633 0.365
H -0.234 11.974 2.624
H -2.668 12.580 6.409
H -1.016 12.264 4.197
H 1.418 12.290 0.412
H -0.189 1.893 3.152
H -2.623 6.292 6.936
H -1.146 0.236 4.679
H 1.288 7.948 0.894
H -0.504 3.128 4.411
H 1.931 5.057 0.626
H -1.162 9.115 6.067
H 1.272 15.438 2.282
H 0.201 0.931 5.288
H 2.636 7.254 1.503
H -0.457 11.313 6.944
H 1.978 13.241 3.159
H 0.186 8.421 6.676
H 2.620 16.133 2.891
H 4.097 10.078 0.633
H 1.662 14.476 4.418
H 0.056 4.079 7.158
H 2.490 4.106 3.373
H 4.142 3.790 1.161
H 1.707 4.395 4.946
H 0.760 1.737 7.204
H 3.194 6.448 3.419
H 4.832 1.473 1.027
H 2.397 6.712 4.812
H 5.780 10.456 0.128
H 3.346 14.098 3.913
H 4.324 11.830 2.772
H 1.890 12.724 6.557
Pt -1.825 1.546 6.788
Pt 0.610 6.639 3.003
Pt 0.864 9.730 4.567
Pt 3.298 14.824 0.782
C -1.056 11.669 3.277
C -3.491 12.885 7.062
C -0.836 2.169 3.997
C 1.599 6.015 0.212
C -0.125 10.354 7.358
C 2.309 14.200 3.573
C 4.965 3.485 0.508
C 2.530 4.700 4.293
N -0.896 10.231 3.612
N -3.331 14.323 7.396
N -0.782 1.123 5.050
N 1.653 7.062 1.265
N -0.179 9.307 6.305
N 2.256 15.247 2.520
N 4.804 2.046 0.173
N 2.370 6.139 3.958
Cl -3.520 9.126 5.709
Cl -1.085 15.428 1.924
Cl 1.921 2.051 1.198
Cl -0.514 6.133 4.983
Cl 1.987 10.236 2.587
Cl -0.447 14.318 6.372
Cl 2.559 0.941 5.646
Cl 4.994 7.244 1.861
```

=====

No. 2
# Li3Tl3Hg

Li3Tl3Hg after structural relaxation (PBE-GGA, Alexandria via LeMat-Bulk). Values from VASP.

Properties
ΔH_f (0 K)	-195	meV per atom
E_tot	-2.073	eV per atom

The structure in Quantum ESPRESSO input format:
```
&SYSTEM
  ibrav = 0, nat = 14, ntyp = 3
/
ATOMIC_SPECIES
Li 6.94 Li.upf
Tl 204.38 Tl.upf
Hg 200.59 Hg.upf
CELL_PARAMETERS angstrom
4.795 -4.869 0.000
4.795 4.869 0.000
0.000 0.000 6.665
ATOMIC_POSITIONS angstrom
Li 0.000 0.000 1.567
Li 0.000 0.000 5.098
Li 2.398 2.434 1.598
Li 2.398 2.434 5.068
Li 2.398 -2.434 1.598
Li 2.398 -2.434 5.068
Tl 2.377 0.000 3.333
Tl 4.795 2.176 3.333
Tl 2.828 0.000 0.000
Tl 6.763 0.000 0.000
Tl 4.795 -2.176 3.333
Tl 7.213 0.000 3.333
Hg 4.795 2.522 0.000
Hg 4.795 -2.522 0.000
```

=====

No. 3
# ZrTlCu

ZrTlCu after structural relaxation (PBE-GGA, Alexandria via LeMat-Bulk). Values from VASP.

Properties
ΔH_f (0 K)	15	meV per atom
E_tot	-4.989	eV per atom

The structure in Quantum ESPRESSO input format:
```
&SYSTEM
  ibrav = 0, nat = 6, ntyp = 3
/
ATOMIC_SPECIES
Zr 91.22 Zr.upf
Tl 204.38 Tl.upf
Cu 63.55 Cu.upf
CELL_PARAMETERS angstrom
3.968 -2.294 0.000
3.968 2.294 0.000
-2.651 0.000 6.604
ATOMIC_POSITIONS angstrom
Zr 0.000 0.000 0.000
Zr -0.004 0.000 3.295
Tl 2.642 0.000 4.845
Tl 5.285 0.000 1.744
Cu -0.004 0.000 5.942
Cu 2.639 0.000 1.907
```

=====

No. 4
# CaCeTlBr6

CaCeTlBr6 after structural relaxation (PBE-GGA, Alexandria via LeMat-Bulk). Values from VASP.

Properties
E_tot	-3.947	eV per atom
energy relative to the elements, uncorrected	-1.688	eV per atom

The structure in Quantum ESPRESSO input format:
```
&SYSTEM
  ibrav = 0, nat = 18, ntyp = 4
/
ATOMIC_SPECIES
Ca 40.08 Ca.upf
Ce 140.12 Ce.upf
Tl 204.38 Tl.upf
Br 79.90 Br.upf
CELL_PARAMETERS angstrom
7.609 0.000 0.000
-3.804 6.590 0.000
0.000 0.000 14.313
ATOMIC_POSITIONS angstrom
Ca 0.000 4.393 3.578
Ca 3.804 2.197 10.735
Ce 0.000 4.393 10.735
Ce 3.804 2.197 3.578
Tl 0.000 0.000 0.000
Tl 0.000 0.000 7.157
Br -1.394 2.429 1.926
Br -2.398 4.168 5.231
Br 1.394 2.429 5.231
Br -1.004 6.582 1.926
Br 2.801 0.007 9.082
Br 1.406 2.422 12.387
Br 2.398 4.168 1.926
Br 1.004 6.582 5.231
Br 4.808 0.007 12.387
Br 2.410 4.161 9.082
Br 6.202 2.422 9.082
Br 5.199 4.161 12.387
```

=====

No. 5
# ZnGa3Co4

ZnGa3Co4 after structural relaxation (PBE-GGA, Alexandria via LeMat-Bulk). Values from VASP.

Properties
ΔH_f (0 K)	-233	meV per atom
E_tot	-5.081	eV per atom

The structure in Quantum ESPRESSO input format:
```
&SYSTEM
  ibrav = 0, nat = 8, ntyp = 3
/
ATOMIC_SPECIES
Zn 65.41 Zn.upf
Ga 69.72 Ga.upf
Co 58.93 Co.upf
CELL_PARAMETERS angstrom
2.880 0.000 0.000
0.000 2.880 0.000
0.000 0.000 11.499
ATOMIC_POSITIONS angstrom
Zn 0.000 0.000 0.000
Ga 0.000 0.000 2.842
Ga 0.000 0.000 5.749
Ga 0.000 0.000 8.656
Co 1.440 1.440 1.483
Co 1.440 1.440 4.321
Co 1.440 1.440 7.177
Co 1.440 1.440 10.015
```

=====

No. 6
# NdIn12Hg6

NdIn12Hg6 after structural relaxation (PBE-GGA, Alexandria via LeMat-Bulk). Values from VASP.

Properties
ΔH_f (0 K)	-40	meV per atom
E_tot	-2.116	eV per atom

The structure in Quantum ESPRESSO input format:
```
&SYSTEM
  ibrav = 0, nat = 19, ntyp = 3
/
ATOMIC_SPECIES
Nd 144.24 Nd.upf
In 114.82 In.upf
Hg 200.59 Hg.upf
CELL_PARAMETERS angstrom
5.707 3.295 4.666
-5.707 3.295 4.666
0.000 -6.590 4.666
ATOMIC_POSITIONS angstrom
Nd 0.000 0.000 0.000
In -4.023 -2.249 6.736
In -1.303 -1.386 5.679
In -0.063 -4.609 7.261
In -3.959 2.359 7.261
In -0.549 1.821 5.679
In -1.852 0.435 8.318
In 1.852 -0.435 5.679
In 0.549 -1.821 8.318
In 3.959 -2.359 6.736
In 0.063 4.609 6.736
In 1.303 1.386 8.318
In 4.023 2.249 7.261
Hg -3.152 1.327 4.092
Hg 0.427 -3.393 4.092
Hg -2.725 -2.066 9.905
Hg 2.725 2.066 4.092
Hg -0.427 3.393 9.905
Hg 3.152 -1.327 9.905
```